(1)
VASP calculation (PBE-GGA) on a relaxed structure of LiAlFe2.

Cell and atoms, written as extended XYZ:
```
4
Lattice="-0.782 -3.990 -0.577 2.265 -0.276 -1.161 2.505 -1.052 3.884" Properties=species:S:1:pos:R:3 pbc="T T T"
Al 3.083 -2.993 1.901
Fe 2.623 -1.064 3.806
Fe 0.730 -2.324 0.469
Li 2.443 -0.654 1.216
```

Computed properties:
Crystal system: monoclinic
Density, g cm⁻³: 4.9
Energy of formation from the pure elements, kJ per mole of atoms: -2.3



(2)
VASP calculation (PBE-GGA) on a relaxed structure of LiAlFe2.

Cell and atoms, written as extended XYZ:
```
4
Lattice="4.260 0.000 0.000 0.000 4.260 0.000 0.000 0.000 2.721" Properties=species:S:1:pos:R:3 pbc="T T T"
Al 0.000 2.130 1.361
Fe 0.000 0.000 0.000
Fe 2.130 2.130 0.000
Li 2.130 0.000 1.361
```

Computed properties:
Crystal system: tetragonal
Density, g cm⁻³: 4.9
Energy of formation from the pure elements, kJ per mole of atoms: 7.7



(3)
VASP calculation (PBE-GGA) on a relaxed structure of LiAl2Fe.

Cell and atoms, written as extended XYZ:
```
4
Lattice="-0.362 3.275 2.689 -3.830 1.646 0.843 -1.767 -0.575 3.826" Properties=species:S:1:pos:R:3 pbc="T T T"
Al 0.000 0.000 0.000
Al -1.490 1.086 1.840
Fe -2.979 2.173 3.679
Li -4.469 3.259 5.519
```

Computed properties:
Crystal system: cubic
Density, g cm⁻³: 3.6
Energy of formation from the pure elements, kJ per mole of atoms: 1.5



Going through the records in order, we get uncorrected energy values of -5.670, -5.566, -4.450 eV per atom.